DFT (GGA+U) results for a relaxed structure of KMnAsF6.

It has space group P312 (No. 149), with a = 5.7087 Å, b = 5.7087 Å, c = 5.5898 Å, α = 90.00°, β = 90.00° and γ = 120.00°. Symmetry generates all atoms from K at (0.0000, 0.0000, 0.0000), Mn at (0.3333, 0.6667, 0.5000), As at (0.6667, 0.3333, 0.5000) and F at (0.3810, 0.0103, 0.7013).

The calculation puts the total energy at -5.17 eV per atom. The volume is 17.53 Å³ per atom.